{
  "formula": "Dy5PuIn4",
  "functional": "PBE",
  "state": "optimized geometry",
  "sg": "P4/mmm, No. 123",
  "final_energy_ev_per_fu": -51.7,
  "crystal_system": "tetragonal",
  "cell": [[3.534, 0.000, 0.000], [0.000, 3.534, 0.000], [0.000, 0.000, 21.682]],
  "species": ["Dy", "Dy", "Dy", "Dy", "Dy", "Pu", "In", "In", "In", "In"],
  "fractional_positions": [[0.000, 0.000, 0.000], [0.000, 0.000, 0.196], [0.000, 0.000, 0.390], [0.000, 0.000, 0.610], [0.000, 0.000, 0.804], [0.500, 0.500, 0.500], [0.500, 0.500, 0.098], [0.500, 0.500, 0.294], [0.500, 0.500, 0.706], [0.500, 0.500, 0.902]]
}